Entry 1:
KPuI3 | PBE | optimized geometry

Output
total magnetization: 6.00 μB per cell
raw total energy: -5.12 eV/atom
volume: 245.0 Å³/f.u.
ρ: 4.50 g/cm³

a b c (Å): 6.2573 6.2573 6.2573
angles (deg): 90.00 90.00 90.00
With the nearest neighbours (Å) after each atom.
Space group Pm-3m (No. 221)
Symmetry-distinct sites (fractional):
K: 0.0000 0.0000 0.0000 x1  12 I 4.42
Pu: 0.5000 0.5000 0.5000 x1  6 I 3.13
I: 0.0000 0.5000 0.5000 x3  2 Pu 3.13

Entry 2:
LiYTl6 | PBE | optimized geometry

Output
total magnetization: 0.00 μB per cell
volume: 216.7 Å³/f.u.
ρ: 10.13 g/cm³
energy of formation: -0.125 eV/atom

a b c (Å): 9.4587 9.4882 4.8290
angles (deg): 90.00 90.00 90.00
With the nearest neighbours (Å) after each atom.
Space group Cmmm (No. 65)
Symmetry-distinct sites (fractional):
Li: 0.0000 0.0000 0.0000 x2  12 Tl 3.35-3.37
Y: 0.0000 0.5000 0.0000 x2  12 Tl 3.35-3.41
Tl: 0.0000 0.2482 0.5000 x4  8 Tl 3.31-3.39, 2 Li 3.37, 2 Y 3.40
Tl: 0.2456 0.0000 0.5000 x4  8 Tl 3.31-3.39, 2 Li 3.35, 2 Y 3.41
Tl: 0.2500 0.2500 0.0000 x4  2 Li 3.35, 2 Y 3.35, 8 Tl 3.38-3.39